{
  "formula": "BaBe2Br",
  "functional": "PBE-GGA",
  "state": "optimized geometry",
  "magnetic_moment_mub_per_cell": 0.000,
  "density_g_cm3": 3.5,
  "e_above_lowest_polymorph_mev_per_atom": 34,
  "e_form_raw_ev_per_atom": 0.045,
  "cell": [[4.2903, 0.0000, 0.0000], [0.0000, 4.1574, -0.0169], [0.0000, 0.0298, 6.2590]],
  "species": ["Br", "Be", "Be", "Ba"],
  "fractional_positions": [[0.0000, 0.2502, 0.5123], [0.5000, 0.2498, 0.1201], [0.0000, 0.2498, 0.1070], [0.5000, 0.7501, 0.7606]]
}